Record 1
The following is a DFT calculation (GGA-PBEsol) of an optimized crystal structure of AlHgPt2.

abc: 2.8812 2.8812 7.5891
angles: 90.00 90.00 90.00
Last column: nearest neighbours and their distance in Å.
Space group P4/mmm (No. 123)
Unique sites:
Al 0.0000 0.0000 0.0000 x1  8 Pt 2.59, 4 Al 2.88
Hg 0.0000 0.0000 0.5000 x1  4 Hg 2.88, 8 Pt 3.00
Pt 0.5000 0.5000 0.2101 x2  4 Al 2.59, 4 Pt 2.88

ρ (g cm⁻³): 16.28
Density of states at the Fermi level (states/eV/cell): 1.0
Energy of formation from the pure elements (meV per atom): -603
Uncorrected energy (hartree per atom): -0.193



Record 2
The following is a DFT calculation (GGA-PBEsol) of an optimized crystal structure of Mg3Zn2Cu7.

abc: 4.9325 4.9325 23.7876
angles: 90.00 90.00 120.00
Last column: nearest neighbours and their distance in Å.
Space group R-3m (No. 166, hexagonal axes)
Unique sites:
Mg 0.0000 0.0000 0.0000 x3  6 Zn 2.85
Mg 0.0000 0.0000 0.1426 x6  12 Cu 2.82-2.90, 3 Mg 3.07
Zn 0.0000 0.0000 0.3334 x6  6 Cu 2.47-2.48
Cu 0.0000 0.0000 0.5000 x3  6 Cu 2.42
Cu 0.0033 0.5017 0.9149 x18  5 Cu 2.42-2.49, 2 Zn 2.47-2.48

ρ (g cm⁻³): 6.45
Density of states at the Fermi level (states/eV/cell): 16.3
Energy of formation from the pure elements (meV per atom): -103
Uncorrected energy (hartree per atom): -0.122



Record 3
The following is a DFT calculation (GGA-PBEsol) of an optimized crystal structure of SiAs2P.

abc: 4.4422 3.6321 4.5278
angles: 90.00 109.61 90.00
Last column: nearest neighbours and their distance in Å.
Space group Pm (No. 6)
Unique sites:
Si 0.0000 0.0000 0.0000 x1  2 P 2.41, 4 As 2.57-2.62
As 0.4840 0.0000 0.5207 x1  2 Si 2.57-2.60, 2 As 2.64, 2 P 2.66
As 0.7325 0.5000 0.2486 x1  2 P 2.47-2.71, 2 Si 2.62, 2 As 2.64
P 0.2301 0.5000 0.7961 x1  2 Si 2.41, 3 As 2.47-2.66

ρ (g cm⁻³): 5.04
ΔE_f (raw) (eV per atom): 0.070
Density of states at the Fermi level (states/eV/cell): 1.4
Energy above the lowest structure with this stoichiometry (meV per atom): 0.0
Uncorrected energy (hartree per atom): -0.197



Record 4
The following is a DFT calculation (GGA-PBEsol) of an optimized crystal structure of BaYMo2.

abc: 10.4797 3.6317 6.6137
angles: 90.00 113.67 90.00
Last column: nearest neighbours and their distance in Å.
Space group C2/m (No. 12)
Unique sites:
Ba 0.0000 0.0000 0.0000 x2  4 Mo 3.32, 2 Ba 3.63
Y 0.0000 0.5000 0.5000 x2  6 Mo 3.01-3.04
Mo 0.2472 0.5000 0.3776 x4  2 Mo 2.42

ρ (g cm⁻³): 6.02
Density of states at the Fermi level (states/eV/cell): 8.2
Energy above the lowest structure with this stoichiometry (meV per atom): 357.9
Energy of formation from the pure elements (meV per atom): 800
Uncorrected energy (hartree per atom): -0.269



Record 5
The following is a DFT calculation (GGA-PBEsol) of an optimized crystal structure of CaInPb2.

abc: 4.6779 4.6779 10.0097
angles: 90.00 90.00 90.00
Last column: nearest neighbours and their distance in Å.
Space group I-4m2 (No. 119)
Unique sites:
Ca 0.0000 0.0000 0.0000 x2  8 Pb 3.31-3.43, 4 In 3.43
In 0.0000 0.5000 0.2500 x2  8 Pb 3.31-3.43, 4 Ca 3.43
Pb 0.0000 0.0000 0.5000 x2  4 Ca 3.31, 4 In 3.43, 4 Pb 3.43
Pb 0.0000 0.5000 0.7500 x2  4 In 3.31, 4 Pb 3.43, 4 Ca 3.43

ρ (g cm⁻³): 8.63
Density of states at the Fermi level (states/eV/cell): 3.9
Energy of formation from the pure elements (meV per atom): -319
Uncorrected energy (hartree per atom): -0.132



Record 6
The following is a DFT calculation (GGA-PBEsol) of an optimized crystal structure of MgTlNi2.

abc: 2.9983 2.9983 24.1380
angles: 90.00 90.00 120.00
Last column: nearest neighbours and their distance in Å.
Space group R-3m (No. 166, hexagonal axes)
Unique sites:
Mg 0.0000 0.0000 0.0000 x3  6 Ni 2.63
Tl 0.0000 0.0000 0.5000 x3  6 Ni 2.67
Ni 0.0000 0.0000 0.2511 x6  3 Mg 2.63, 3 Tl 2.67

ρ (g cm⁻³): 9.17
Density of states at the Fermi level (states/eV/cell): 6.9
Energy of formation from the pure elements (meV per atom): 284
Uncorrected energy (hartree per atom): -0.143